RbPuTlBr6, optimized geometry, DFT PBE; space group = P-31c, No. 163; raw formation energy = -1.33 eV per atom; density of states at the Fermi level = 12.316 states/eV/cell
1.0
8.270 0.000 0.000
-4.135 7.162 0.000
0.000 0.000 12.793
Rb Pu Tl Br
2 2 2 12
Cartesian
0.000 4.775 3.198 Rb
4.135 2.387 9.594 Rb
0.000 4.775 9.594 Pu
4.135 2.387 3.198 Pu
0.000 0.000 0.000 Tl
0.000 0.000 6.396 Tl
-1.081 2.784 7.992 Br
-2.265 4.834 11.197 Br
1.081 2.784 11.197 Br
-1.184 6.706 7.992 Br
2.951 0.456 1.595 Br
1.871 2.328 4.801 Br
2.265 4.834 7.992 Br
1.184 6.706 11.197 Br
5.319 0.456 4.801 Br
3.055 4.378 1.595 Br
6.400 2.328 1.595 Br
5.216 4.378 4.801 Br